The following is a DFT calculation (PBE-GGA) of LiTa2Tl2O7 after structural relaxation.

Values from the calculation:
The calculation puts the uncorrected formation energy at -47.12 kcal/mol of atoms.

Lattice parameters (Å, degrees): 3.9746 3.9746 11.1455 83.68 83.68 89.09
With the nearest neighbours (Å) after each atom.
Element x y z (fractional)
O 0.4009 0.4009 0.3637  1 Ta 2.04
O 0.4493 0.9433 0.1765  2 Ta 1.93-2.05
O 0.0567 0.5507 0.8235  2 Ta 1.93-2.05
O 0.5507 0.0567 0.8235  2 Ta 1.93-2.05
O 0.5000 0.5000 0.0000  2 Ta 1.98
O 0.9433 0.4493 0.1765  2 Ta 1.93-2.05
O 0.5991 0.5991 0.6363  1 Ta 2.04
Li 0.0000 0.0000 0.0000  12 O 2.77-2.83
Ta 0.4281 0.4281 0.1795  6 O 1.93-2.05
Ta 0.5719 0.5719 0.8205  6 O 1.93-2.05
Tl 0.1823 0.1823 0.6059  1 O 2.44
Tl 0.8177 0.8177 0.3941  1 O 2.44